# 1
Density functional theory data (meta-GGA SCAN) for LaCo3 at its PBEsol-relaxed geometry.

```
LaCo3
1.0
7.0851 0.0000 0.0000
0.0000 6.4290 0.0000
0.0000 0.0000 5.4172
La Co
4 12
direct
0.0299 0.2500 0.1240
0.4701 0.7500 0.6240
0.5299 0.2500 0.3760
0.9701 0.7500 0.8760
0.1326 0.7500 0.3419
0.1518 0.0626 0.5849
0.1518 0.4374 0.5849
0.3482 0.5626 0.0849
0.3482 0.9374 0.0849
0.3674 0.2500 0.8419
0.6326 0.7500 0.1581
0.6518 0.0626 0.9151
0.6518 0.4374 0.9151
0.8482 0.5626 0.4151
0.8482 0.9374 0.4151
0.8674 0.2500 0.6581
```

Results
For the total energy, the calculation gives -23.6550 eV per atom. The volume comes out at 15.4 A^3/atom.

# 2
Density functional theory data (meta-GGA SCAN) for La2Co at its PBEsol-relaxed geometry.

```
La2Co
1.0
6.8086 0.0000 0.0000
0.0000 6.8086 0.0000
0.0000 0.0000 6.8086
La Co
8 4
direct
0.1754 0.1754 0.1754
0.1754 0.3246 0.6754
0.3246 0.6754 0.1754
0.3246 0.8246 0.6754
0.6754 0.1754 0.3246
0.6754 0.3246 0.8246
0.8246 0.6754 0.3246
0.8246 0.8246 0.8246
0.0000 0.0000 0.5000
0.0000 0.5000 0.0000
0.5000 0.0000 0.0000
0.5000 0.5000 0.5000
```

Results
For the total energy, the calculation gives -34.5038 eV per atom. The volume comes out at 26.3 A^3/atom.

# 3
Density functional theory data (meta-GGA SCAN) for La2Co at its PBEsol-relaxed geometry.

```
La2Co
1.0
-1.7011 1.7011 13.6517
1.7011 -1.7011 13.6517
1.7011 1.7011 -13.6517
La Co
4 2
direct
0.3153 0.5653 0.7500
0.4347 0.6847 0.7500
0.5653 0.3153 0.2500
0.6847 0.4347 0.2500
0.1250 0.8750 0.2500
0.8750 0.1250 0.7500
```

Results
For the total energy, the calculation gives -34.4834 eV per atom. The volume comes out at 26.3 A^3/atom.

# 4
Density functional theory data (meta-GGA SCAN) for La3Co at its PBEsol-relaxed geometry.

```
La3Co
1.0
-1.8194 2.9209 5.2134
1.8194 -2.9209 5.2134
1.8194 2.9209 -5.2134
La Co
3 1
direct
0.0000 0.0000 0.0000
0.3184 0.8184 0.5000
0.6816 0.1816 0.5000
0.5000 0.5000 0.0000
```

Results
For the total energy, the calculation gives -36.5908 eV per atom. The volume comes out at 27.7 A^3/atom.

# 5
Density functional theory data (meta-GGA SCAN) for LaCo5 at its PBEsol-relaxed geometry.

```
LaCo5
1.0
3.8162 0.0000 0.0000
0.0000 1.3827 7.8064
0.0000 -1.3827 7.8064
La Co
1 5
direct
0.0000 0.0000 0.0000
0.0000 0.3240 0.3240
0.0000 0.6944 0.6944
0.5000 0.2302 0.2302
0.5000 0.6072 0.6072
0.5000 0.8555 0.8555
```

Results
For the total energy, the calculation gives -21.2807 eV per atom. The volume comes out at 13.7 A^3/atom.

# 6
Density functional theory data (meta-GGA SCAN) for La2Co at its PBEsol-relaxed geometry.

```
La2Co
1.0
-1.7258 1.7258 6.6117
1.7258 -1.7258 6.6117
1.7258 1.7258 -6.6117
La Co
2 1
direct
0.1208 0.1208 0.0000
0.8792 0.8792 0.0000
0.5000 0.5000 0.0000
```

Results
For the total energy, the calculation gives -34.5097 eV per atom. The volume comes out at 26.3 A^3/atom.

# 7
Density functional theory data (meta-GGA SCAN) for LaCo13 at its PBEsol-relaxed geometry.

```
LaCo13
1.0
0.0000 5.5392 5.5392
5.5392 0.0000 5.5392
5.5392 5.5392 0.0000
La Co
2 26
direct
0.2500 0.2500 0.2500
0.7500 0.7500 0.7500
0.0000 0.0000 0.0000
0.0595 0.2953 0.7047
0.0595 0.7047 0.9405
0.0595 0.9405 0.2953
0.2047 0.4405 0.7953
0.2047 0.5595 0.4405
0.2047 0.7953 0.5595
0.2953 0.0595 0.9405
0.2953 0.7047 0.0595
0.2953 0.9405 0.7047
0.4405 0.2047 0.5595
0.4405 0.5595 0.7953
0.4405 0.7953 0.2047
0.5000 0.5000 0.5000
0.5595 0.2047 0.7953
0.5595 0.4405 0.2047
0.5595 0.7953 0.4405
0.7047 0.0595 0.2953
0.7047 0.2953 0.9405
0.7047 0.9405 0.0595
0.7953 0.2047 0.4405
0.7953 0.4405 0.5595
0.7953 0.5595 0.2047
0.9405 0.0595 0.7047
0.9405 0.2953 0.0595
0.9405 0.7047 0.2953
```

Results
For the total energy, the calculation gives -19.1353 eV per atom. The volume comes out at 12.1 A^3/atom.

# 8
Density functional theory data (meta-GGA SCAN) for LaCo3 at its PBEsol-relaxed geometry.

```
LaCo3
1.0
-1.4896 4.2939 2.2760
1.4896 -4.2939 2.2760
1.4896 4.2939 -2.2760
La Co
1 3
direct
0.0000 0.0000 0.0000
0.3775 0.6014 0.7761
0.4804 0.9804 0.5000
0.8253 0.6014 0.2239
```

Results
For the total energy, the calculation gives -23.3173 eV per atom. The volume comes out at 14.6 A^3/atom.

# 9
Density functional theory data (meta-GGA SCAN) for La3Co at its PBEsol-relaxed geometry.

```
La3Co
1.0
6.9162 0.0000 0.0000
0.0000 9.8205 0.0000
0.0000 0.0000 6.4811
La Co
12 4
direct
0.0602 0.2500 0.1351
0.1557 0.0683 0.6669
0.1557 0.4317 0.6669
0.3443 0.5683 0.1669
0.3443 0.9317 0.1669
0.4398 0.7500 0.6351
0.5602 0.2500 0.3649
0.6557 0.0683 0.8331
0.6557 0.4317 0.8331
0.8443 0.5683 0.3331
0.8443 0.9317 0.3331
0.9398 0.7500 0.8649
0.1225 0.7500 0.4310
0.3775 0.2500 0.9310
0.6225 0.7500 0.0690
0.8775 0.2500 0.5690
```

Results
For the total energy, the calculation gives -36.6937 eV per atom. The volume comes out at 27.5 A^3/atom.

# 10
Density functional theory data (meta-GGA SCAN) for LaCo5 at its PBEsol-relaxed geometry.

```
LaCo5
1.0
4.9229 0.0000 0.0000
-2.4615 4.2634 0.0000
0.0000 0.0000 3.9237
La Co
1 5
direct
0.0000 0.0000 0.0000
0.0000 0.5000 0.5000
0.3333 0.6667 0.0000
0.5000 0.0000 0.5000
0.5000 0.5000 0.5000
0.6667 0.3333 0.0000
```

Results
For the total energy, the calculation gives -21.5230 eV per atom. The volume comes out at 13.7 A^3/atom.

# 11
Density functional theory data (meta-GGA SCAN) for La2Co at its PBEsol-relaxed geometry.

```
La2Co
1.0
6.4502 0.0000 0.0000
0.0000 6.4767 0.0000
0.0000 0.0000 4.0812
La Co
4 2
direct
0.2038 0.1837 0.0000
0.2962 0.6837 0.5000
0.7038 0.3163 0.5000
0.7962 0.8163 0.0000
0.0000 0.0000 0.5000
0.5000 0.5000 0.0000
```

Results
For the total energy, the calculation gives -34.5197 eV per atom. The volume comes out at 28.4 A^3/atom.

# 12
Density functional theory data (meta-GGA SCAN) for La3Co2 at its PBEsol-relaxed geometry.

```
La3Co2
1.0
1.9707 1.1378 9.5751
-1.9707 1.1378 9.5751
0.0000 -2.2756 9.5751
La Co
3 2
direct
0.0000 0.0000 0.0000
0.2263 0.2263 0.2263
0.7737 0.7737 0.7737
0.3925 0.3925 0.3925
0.6075 0.6075 0.6075
```

Results
For the total energy, the calculation gives -32.6500 eV per atom. The volume comes out at 25.8 A^3/atom.

# 13
Density functional theory data (meta-GGA SCAN) for La2Co at its PBEsol-relaxed geometry.

```
La2Co
1.0
0.0000 3.3817 3.3817
3.3817 0.0000 3.3817
3.3817 3.3817 0.0000
La Co
2 1
direct
0.2500 0.2500 0.2500
0.7500 0.7500 0.7500
0.0000 0.0000 0.0000
```

Results
For the total energy, the calculation gives -34.4319 eV per atom. The volume comes out at 25.8 A^3/atom.

# 14
Density functional theory data (meta-GGA SCAN) for La2Co at its PBEsol-relaxed geometry.

```
La2Co
1.0
3.9684 0.0000 0.0000
-1.9842 3.4367 0.0000
0.0000 0.0000 6.3491
La Co
2 1
direct
0.3333 0.6667 0.2308
0.6667 0.3333 0.7692
0.0000 0.0000 0.0000
```

Results
For the total energy, the calculation gives -34.4793 eV per atom. The volume comes out at 28.9 A^3/atom.

# 15
Density functional theory data (meta-GGA SCAN) for La3Co at its PBEsol-relaxed geometry.

```
La3Co
1.0
1.9121 1.1040 9.3392
-1.9121 1.1040 9.3392
0.0000 -2.2080 9.3392
La Co
3 1
direct
0.0000 0.0000 0.0000
0.2226 0.2226 0.2226
0.7774 0.7774 0.7774
0.5000 0.5000 0.5000
```

Results
For the total energy, the calculation gives -36.5774 eV per atom. The volume comes out at 29.6 A^3/atom.

# 16
Density functional theory data (meta-GGA SCAN) for LaCo5 at its PBEsol-relaxed geometry.

```
LaCo5
1.0
2.4823 -4.2571 0.0000
2.4823 4.2571 0.0000
0.0000 0.0000 7.7875
La Co
2 10
direct
0.0000 0.0000 0.0000
0.0000 0.0000 0.5000
0.0000 0.5000 0.2616
0.0000 0.5000 0.7384
0.3029 0.6272 0.0000
0.3728 0.6971 0.5000
0.5000 0.0000 0.2384
0.5000 0.0000 0.7616
0.5000 0.5000 0.2500
0.5000 0.5000 0.7500
0.6272 0.3029 0.5000
0.6971 0.3728 0.0000
```

Results
For the total energy, the calculation gives -21.5329 eV per atom. The volume comes out at 13.7 A^3/atom.

# 17
Density functional theory data (meta-GGA SCAN) for La2Co at its PBEsol-relaxed geometry.

```
La2Co
1.0
7.1772 0.0000 0.0000
-3.5886 6.2156 0.0000
0.0000 0.0000 4.9745
La Co
6 3
direct
0.0000 0.2903 0.0000
0.0000 0.6209 0.5000
0.2903 0.0000 0.0000
0.3791 0.3791 0.5000
0.6209 0.0000 0.5000
0.7097 0.7097 0.0000
0.0000 0.0000 0.5000
0.3333 0.6667 0.0000
0.6667 0.3333 0.0000
```

Results
For the total energy, the calculation gives -34.4770 eV per atom. The volume comes out at 24.7 A^3/atom.

# 18
Density functional theory data (meta-GGA SCAN) for LaCo3 at its PBEsol-relaxed geometry.

```
LaCo3
1.0
4.0887 0.0000 0.0000
0.0000 3.8891 0.0000
-1.1721 0.0000 4.3032
La Co
1 3
direct
0.0000 0.0000 0.0000
0.2702 0.5000 0.6117
0.5000 0.0000 0.5000
0.7298 0.5000 0.3883
```

Results
For the total energy, the calculation gives -23.4363 eV per atom. The volume comes out at 17.1 A^3/atom.

# 19
Density functional theory data (meta-GGA SCAN) for LiLaCo at its PBEsol-relaxed geometry.

```
LiLaCo
1.0
0.0000 3.0402 3.0402
3.0402 0.0000 3.0402
3.0402 3.0402 0.0000
Li La Co
1 1 1
direct
0.0000 0.0000 0.0000
0.2500 0.2500 0.2500
0.7500 0.7500 0.7500
```

Results
The volume comes out at 18.7 A^3/atom. Its relative energy among the computed polymorphs is 342 meV per atom.

# 20
Density functional theory data (meta-GGA SCAN) for LiLaCo2 at its PBEsol-relaxed geometry.

```
LiLaCo2
1.0
3.0292 0.0000 0.0000
0.0000 3.0292 0.0000
0.0000 0.0000 7.4510
Li La Co
1 1 2
direct
0.0000 0.0000 0.0000
0.5000 0.5000 0.6252
0.0000 0.0000 0.3406
0.5000 0.5000 0.2139
```

Results
The volume comes out at 17.1 A^3/atom. Its relative energy among the computed polymorphs is 0 meV per atom.

# 21
Density functional theory data (meta-GGA SCAN) for LiLaCo2 at its PBEsol-relaxed geometry.

```
LiLaCo2
1.0
2.0951 1.2096 4.5598
-2.0951 1.2096 4.5598
0.0000 -2.4192 4.5598
Li La Co
1 1 2
direct
0.0000 0.0000 0.0000
0.5000 0.5000 0.5000
0.3256 0.3256 0.3256
0.6744 0.6744 0.6744
```

Results
The volume comes out at 17.3 A^3/atom. Its relative energy among the computed polymorphs is 31 meV per atom.

# 22
Density functional theory data (meta-GGA SCAN) for LiLaCo at its PBEsol-relaxed geometry.

```
LiLaCo
1.0
0.0000 3.1518 3.1518
3.1518 0.0000 3.1518
3.1518 3.1518 0.0000
Li La Co
1 1 1
direct
0.0000 0.0000 0.0000
0.7500 0.7500 0.7500
0.5000 0.5000 0.5000
```

Results
The volume comes out at 20.9 A^3/atom. Its relative energy among the computed polymorphs is 604 meV per atom.

# 23
Density functional theory data (meta-GGA SCAN) for LiLaCo at its PBEsol-relaxed geometry.

```
LiLaCo
1.0
-1.7363 1.7363 4.6600
1.7363 -1.7363 4.6600
1.7363 1.7363 -4.6600
Li La Co
1 1 1
direct
0.0000 0.0000 0.0000
0.7098 0.7098 0.0000
0.3441 0.3441 0.0000
```

Results
The volume comes out at 18.7 A^3/atom. Its relative energy among the computed polymorphs is 0 meV per atom.

# 24
Density functional theory data (meta-GGA SCAN) for LiLa4CoO8 at its PBEsol-relaxed geometry.

```
LiLa4CoO8
1.0
2.6248 -6.4090 0.0000
2.6248 6.4090 0.0000
0.0000 0.0000 5.2551
Li La Co O
1 4 1 8
direct
0.0000 0.0000 0.0000
0.1366 0.8634 0.5000
0.3624 0.6376 0.0000
0.6376 0.3624 0.0000
0.8634 0.1366 0.5000
0.5000 0.5000 0.5000
0.1799 0.8201 0.0000
0.2538 0.2538 0.2551
0.2538 0.2538 0.7449
0.3219 0.6781 0.5000
0.6781 0.3219 0.5000
0.7462 0.7462 0.2551
0.7462 0.7462 0.7449
0.8201 0.1799 0.0000
```

Results
For the total energy, the calculation gives -20.4777 eV per atom. The volume comes out at 12.6 A^3/atom.